1.
Below is a relaxed LiTmTlBr5 crystal, with properties calculated at the PBE-GGA level.

Cell: 7.819 7.819 10.452 Å, 103.41 103.41 107.70°
Positions (direct):
Li 0.692 0.308 0.250
Li 0.308 0.692 0.750
Tm 0.000 0.000 0.500
Tm 0.000 0.000 0.000
Tl 0.355 0.645 0.250
Tl 0.645 0.355 0.750
Br 0.079 0.921 0.250
Br 0.921 0.079 0.750
Br 0.914 0.309 0.108
Br 0.086 0.691 0.892
Br 0.691 0.086 0.392
Br 0.309 0.914 0.608
Br 0.757 0.627 0.432
Br 0.243 0.373 0.568
Br 0.373 0.243 0.068
Br 0.627 0.757 0.932

Formation energy from raw total energies in eV/atom: -1.526
Total energy in eV/cell: -58.65
ρ in g/cm³: 4.627
Volume in Å³/atom: 34.98
Symmetry: C2/c, No. 15

=====

2.
Below is a relaxed Li2TmTlBr6 crystal, with properties calculated at the PBE-GGA level.

Cell: 7.269 7.267 7.880 Å, 62.52 62.50 59.99°
Positions (direct):
Li 0.518 0.518 0.445
Li 0.007 0.008 0.976
Tm 0.324 0.324 0.028
Tl 0.804 0.804 0.589
Br 0.585 0.263 0.234
Br 0.263 0.918 0.234
Br 0.918 0.585 0.234
Br 0.337 0.737 0.758
Br 0.737 0.167 0.758
Br 0.167 0.337 0.759

Formation energy from raw total energies in eV/atom: -1.505
Total energy in eV/cell: -35.75
ρ in g/cm³: 4.719
Volume in Å³/atom: 30.50
Symmetry: R3, No. 146

=====

3.
Below is a relaxed LiUTlBr6 crystal, with properties calculated at the PBE-GGA level.

Cell: 7.199 7.199 14.738 Å, 90.00 90.00 120.00°
Site moments in Bohr magnetons follow the coordinates.
Positions (direct):
Li 0.333 0.667 0.250  0.00
Li 0.667 0.333 0.750  0.00
U 0.667 0.333 0.250  2.10
U 0.333 0.667 0.750  2.10
Tl 0.000 0.000 0.000  0.00
Tl 0.000 0.000 0.500  0.00
Br 0.633 0.632 0.141  -0.03
Br 0.000 0.367 0.141  -0.03
Br 0.367 0.000 0.641  -0.03
Br 0.000 0.633 0.859  -0.03
Br 0.368 0.367 0.359  -0.03
Br 0.000 0.632 0.359  -0.03
Br 0.632 0.000 0.859  -0.03
Br 0.633 0.000 0.359  -0.03
Br 0.000 0.368 0.641  -0.03
Br 0.368 0.000 0.141  -0.03
Br 0.632 0.633 0.641  -0.03
Br 0.367 0.368 0.859  -0.03

Formation energy from raw total energies in eV/atom: -1.272
Total energy in eV/cell: -74.11
ρ in g/cm³: 4.664
Volume in Å³/atom: 36.74
Symmetry: P-31c, No. 163

=====

4.
Below is a relaxed Li2UTlBr8 crystal, with properties calculated at the PBE-GGA level.

Cell: 6.800 6.750 9.638 Å, 90.01 90.03 79.91°
Site moments in Bohr magnetons follow the coordinates.
Positions (direct):
Li 0.500 0.500 0.660  0.00
Li 0.500 0.500 0.340  0.00
U 0.000 0.000 0.000  1.24
Tl 0.000 0.000 0.500  0.00
Br 0.212 0.773 0.202  -0.03
Br 0.736 0.755 0.000  -0.04
Br 0.789 0.227 0.203  -0.03
Br 0.788 0.227 0.798  -0.03
Br 0.264 0.245 0.000  -0.04
Br 0.211 0.773 0.797  -0.03
Br 0.681 0.687 0.500  0.00
Br 0.319 0.313 0.500  0.00

Formation energy from raw total energies in eV/atom: -1.222
Total energy in eV/cell: -45.53
ρ in g/cm³: 4.177
Volume in Å³/atom: 36.30
Symmetry: P2/m, No. 10

=====

5.
Below is a relaxed Li3Tl3VBr8 crystal, with properties calculated at the PBE-GGA level.

Cell: 8.132 8.135 9.027 Å, 116.79 90.00 119.99°
Site moments in Bohr magnetons follow the coordinates.
Positions (direct):
Li 0.500 0.000 0.500  0.00
Li 0.500 0.500 0.500  0.00
Li 0.000 0.500 0.500  0.00
Tl 0.000 0.000 0.000  0.00
Tl 0.000 0.500 0.000  0.00
Tl 0.500 0.500 0.000  0.00
V 0.000 0.000 0.500  2.62
Br 0.268 0.537 0.305  0.00
Br 0.732 0.463 0.695  0.00
Br 0.777 0.555 0.311  -0.01
Br 0.223 0.445 0.689  -0.01
Br 0.777 0.034 0.311  -0.01
Br 0.223 0.966 0.689  -0.01
Br 0.256 0.034 0.311  -0.01
Br 0.744 0.966 0.689  -0.01

Formation energy from raw total energies in eV/atom: -1.081
Total energy in eV/cell: -51.56
ρ in g/cm³: 4.979
Volume in Å³/atom: 29.44
Symmetry: R-3m, No. 166

=====

6.
Below is a relaxed LiTl2VBr6 crystal, with properties calculated at the PBE-GGA level.

Cell: 7.508 7.510 7.367 Å, 59.35 59.43 59.91°
Site moments in Bohr magnetons follow the coordinates.
Positions (direct):
Li 0.816 0.816 0.551  0.00
Tl 0.564 0.565 0.306  0.00
Tl 0.067 0.066 0.801  0.00
V 0.316 0.316 0.051  1.92
Br 0.550 0.131 0.298  -0.02
Br 0.130 0.023 0.298  -0.02
Br 0.022 0.554 0.294  -0.02
Br 0.503 0.610 0.804  -0.02
Br 0.611 0.079 0.808  -0.02
Br 0.083 0.501 0.804  -0.02

Formation energy from raw total energies in eV/atom: -0.960
Total energy in eV/cell: -35.41
ρ in g/cm³: 5.402
Volume in Å³/atom: 29.08
Symmetry: P1, No. 1

=====

7.
Below is a relaxed Li2YTlBr6 crystal, with properties calculated at the PBE-GGA level.

Cell: 7.300 7.299 7.891 Å, 62.45 62.44 60.00°
Positions (direct):
Li 0.517 0.517 0.448
Li 0.008 0.008 0.976
Y 0.323 0.323 0.031
Tl 0.802 0.802 0.593
Br 0.592 0.261 0.234
Br 0.261 0.913 0.234
Br 0.913 0.592 0.234
Br 0.336 0.740 0.755
Br 0.740 0.170 0.755
Br 0.170 0.336 0.755

Formation energy from raw total energies in eV/atom: -1.511
Total energy in eV/cell: -37.81
ρ in g/cm³: 4.243
Volume in Å³/atom: 30.78
Symmetry: R3, No. 146

=====

8.
Below is a relaxed LiTl2ZnBr4 crystal, with properties calculated at the PBE-GGA level.

Cell: 6.268 7.129 14.744 Å, 84.64 77.73 63.92°
Positions (direct):
Li 0.750 0.500 0.500
Li 0.000 0.000 0.000
Tl 0.135 0.000 0.731
Tl 0.865 0.000 0.269
Tl 0.615 0.500 0.769
Tl 0.885 0.500 0.231
Zn 0.250 0.500 0.500
Zn 0.500 0.000 0.000
Br 0.317 0.793 0.098
Br 0.208 0.207 0.902
Br 0.890 0.793 0.902
Br 0.585 0.207 0.098
Br 0.433 0.707 0.402
Br 0.542 0.293 0.598
Br 0.860 0.707 0.598
Br 0.165 0.293 0.402

Formation energy from raw total energies in eV/atom: -0.841
Total energy in eV/cell: -42.67
ρ in g/cm³: 4.599
Volume in Å³/atom: 36.14
Symmetry: Fddd, No. 70